Ce2TlAg meta-GGA SCAN PBEsol geometry; space-group type = Fm-3m; total moment = 2.5 μB/f.u.; VASP energy = -48.4927 eV/atom
1.0
-2.4887 0.6390 -4.6155
2.7039 -0.3273 -4.5262
-0.7141 -4.1339 -3.2102
Tl Ag Ce
1 1 2
Direct
0.0000 0.0000 0.0000
0.5000 0.5000 0.5000
0.7500 0.7500 0.7500
0.2500 0.2500 0.2500